A plane-wave DFT calculation with SCAN was carried out for a PBEsol-optimized structure of Zn2TcSe.

Cell lengths 2.9423, 4.1163, 11.3491 Å; angles 90.00, 90.00, 90.00 degrees
With the nearest neighbours (Å) after each atom.
Space group Imm2 (No. 44)
Asymmetric unit:
Zn  0.0000  0.0000  0.0000 (multiplicity 2)  4 Tc 2.58, 2 Zn 2.66
Zn  0.0000  0.5000  0.1485 (multiplicity 2)  2 Tc 2.66, 4 Zn 2.66-2.94, 4 Se 2.96
Tc  0.0000  0.0000  0.4535 (multiplicity 2)  2 Se 2.42, 6 Zn 2.58-2.66
Se  0.0000  0.5000  0.7845 (multiplicity 2)  2 Tc 2.42

Results
Distance to the lowest polymorph of the same formula ... 0 meV/atom
Magnetization ... 0.0 μB per cell
E ... -1.5038 Ry per atom
Formation energy without anion corrections ... 31 kJ/mol of formula units

A plane-wave DFT calculation with SCAN was carried out for a PBEsol-optimized structure of ZrTeP2.

Cell lengths 4.6697, 4.6697, 3.3609 Å; angles 90.00, 90.00, 90.00 degrees
With the nearest neighbours (Å) after each atom.
Space group P4/mmm (No. 123)
Asymmetric unit:
Zr  0.0000  0.0000  0.0000 (multiplicity 1)  8 P 2.88
Te  0.5000  0.5000  0.0000 (multiplicity 1)  8 P 2.88
P  0.0000  0.5000  0.5000 (multiplicity 2)  4 Zr 2.88, 4 Te 2.88

Results
Distance to the lowest polymorph of the same formula ... 71 meV/atom
Magnetization ... 0.0 μB per cell
E ... -1.6363 Ry per atom
Formation energy without anion corrections ... -29 kJ/mol of formula units

A plane-wave DFT calculation with SCAN was carried out for a PBEsol-optimized structure of Ge2BN.

Cell lengths 4.6306, 4.6306, 9.3637 Å; angles 90.00, 90.00, 90.00 degrees
With the nearest neighbours (Å) after each atom.
Space group I-42d (No. 122)
Asymmetric unit:
Ge  0.2472  0.2500  0.1250 (multiplicity 8)  2 N 2.01, 2 B 2.02
B  0.0000  0.0000  0.5000 (multiplicity 4)  4 Ge 2.02
N  0.0000  0.0000  0.0000 (multiplicity 4)  4 Ge 2.01

Results
Magnetization ... 0.0 μB per cell
E ... -1.0041 Ry per atom
Formation energy without anion corrections ... 24 kJ/mol of formula units

A plane-wave DFT calculation with SCAN was carried out for a PBEsol-optimized structure of LiCdRu2.

Cell lengths 4.8912, 8.7855, 2.7374 Å; angles 90.00, 90.00, 90.00 degrees
With the nearest neighbours (Å) after each atom.
Space group Cmmm (No. 65)
Asymmetric unit:
Li  0.0000  0.0000  0.0000 (multiplicity 2)  2 Cd 2.45, 2 Li 2.74
Cd  0.0000  0.5000  0.0000 (multiplicity 2)  2 Li 2.45, 2 Cd 2.74
Ru  0.2500  0.2500  0.5000 (multiplicity 4)  4 Ru 2.45-2.74

Results
Formation energy ... 381 meV per atom
Magnetization ... 0.0 μB per cell
E ... -1.8546 Ry per atom

A plane-wave DFT calculation with SCAN was carried out for a PBEsol-optimized structure of YAu3.

Cell lengths 4.3568, 4.3568, 16.2408 Å; angles 90.00, 90.00, 90.00 degrees
With the nearest neighbours (Å) after each atom.
Space group I4/mmm (No. 139)
Asymmetric unit:
Y  0.0000  0.0000  0.1286 (multiplicity 4)  12 Au 2.94-3.08
Au  0.0000  0.0000  0.3779 (multiplicity 4)  8 Au 2.95-3.01, 4 Y 3.08
Au  0.0000  0.5000  0.0000 (multiplicity 4)  8 Au 2.95-3.08, 4 Y 3.02
Au  0.0000  0.5000  0.2500 (multiplicity 4)  4 Y 2.94, 8 Au 3.01-3.08

Results
Formation energy ... -759 meV per atom
Magnetization ... 0.0 μB per cell
E ... -4.3796 Ry per atom

A plane-wave DFT calculation with SCAN was carried out for a PBEsol-optimized structure of ZrAlCr2.

Cell lengths 3.2426, 3.2426, 5.6878 Å; angles 90.00, 90.00, 90.00 degrees
With the nearest neighbours (Å) after each atom.
Space group P4/mmm (No. 123)
Asymmetric unit:
Zr  0.0000  0.0000  0.0000 (multiplicity 1)  2 Al 2.84, 8 Cr 2.90
Al  0.0000  0.0000  0.5000 (multiplicity 1)  8 Cr 2.53
Cr  0.5000  0.5000  0.3111 (multiplicity 2)  1 Cr 2.15

Results
Formation energy ... 56 meV per atom
Magnetization ... 0.0 μB per cell
E ... -1.3780 Ry per atom

A plane-wave DFT calculation with SCAN was carried out for a PBEsol-optimized structure of K2AlNi.

Cell lengths 4.0551, 5.7170, 10.5332 Å; angles 90.00, 90.00, 90.00 degrees
With the nearest neighbours (Å) after each atom.
Space group Imm2 (No. 44)
Asymmetric unit:
K  0.0000  0.0000  0.0000 (multiplicity 2)  4 K 3.49-3.84, 4 Al 3.54-3.77, 4 Ni 3.67
K  0.0000  0.5000  0.1906 (multiplicity 2)  4 K 3.49-3.84, 4 Ni 3.59-3.69, 4 Al 3.69
Al  0.0000  0.5000  0.8015 (multiplicity 2)  2 Ni 2.27
Ni  0.0000  0.0000  0.3974 (multiplicity 2)  2 Al 2.27

Results
Formation energy ... 338 meV per atom
Magnetization ... 0.0 μB per cell
E ... -0.7209 Ry per atom

A plane-wave DFT calculation with SCAN was carried out for a PBEsol-optimized structure of SrYSc.

Cell lengths 3.5807, 3.5807, 8.7688 Å; angles 90.00, 90.00, 120.00 degrees
With the nearest neighbours (Å) after each atom.
Space group P3m1 (No. 156)
Asymmetric unit:
Sr  0.0000  0.0000  0.0000 (multiplicity 1)  6 Sr 3.58, 3 Sc 3.65, 3 Y 3.84
Y  0.3333  0.6667  0.6309 (multiplicity 1)  3 Sc 3.26, 6 Y 3.58
Sc  0.6667  0.3333  0.3432 (multiplicity 1)  3 Y 3.26, 6 Sc 3.58, 3 Sr 3.65

Results
Formation energy ... 268 meV per atom
Magnetization ... 0.8 μB per cell
E ... -1.5570 Ry per atom

- magnetization of number 3 (Ge2BN)?
  0.0 μB per cell

- Which value of magnetization does entry 1 give?
  0.0 μB per cell

- magnetization of number 4 (LiCdRu2)?
  0.0 μB per cell